# 1
Ni3OF5 | meta-GGA SCAN | PBEsol geometry

Output
Formation energy without anion corrections = -2.04 eV per atom

CIF file:
```
data_Ni3OF5
_chemical_formula_sum 'Ni12 O4 F20'
_space_group_name_H-M_alt 'A m m 2'
_space_group_IT_number 38
_space_group_name_Hall 'A 2 -2'
_cell_length_a 9.0909
_cell_length_b 6.5824
_cell_length_c 6.3557
_cell_angle_alpha 90.00
_cell_angle_beta 90.00
_cell_angle_gamma 90.00
loop_
_atom_site_label
_atom_site_type_symbol
_atom_site_fract_x
_atom_site_fract_y
_atom_site_fract_z
_atom_site_occupancy
Ni1 Ni 0.0000 0.0000 0.0000 1
Ni2 Ni 0.1672 0.0000 0.4609 1
Ni3 Ni 0.3243 0.0000 0.9945 1
Ni4 Ni 0.5000 0.0000 0.4923 1
O1 O 0.1648 0.0000 0.1747 1
F1 F 0.0000 0.1964 0.4758 1
F2 F 0.1644 0.0000 0.7752 1
F3 F 0.3340 0.1972 0.4830 1
F4 F 0.5000 0.0000 0.1856 1
F5 F 0.5000 0.0000 0.7989 1
```


# 2
K2ScCd | meta-GGA SCAN | PBEsol geometry

Output
Energy of formation from the pure elements = 457 meV per atom

CIF file:
```
data_K2ScCd
_chemical_formula_sum 'K4 Sc2 Cd2'
_space_group_name_H-M_alt 'C m m m'
_space_group_IT_number 65
_space_group_name_Hall '-C 2 2'
_cell_length_a 6.7518
_cell_length_b 11.9332
_cell_length_c 3.4332
_cell_angle_alpha 90.00
_cell_angle_beta 90.00
_cell_angle_gamma 90.00
loop_
_atom_site_label
_atom_site_type_symbol
_atom_site_fract_x
_atom_site_fract_y
_atom_site_fract_z
_atom_site_occupancy
K1 K 0.2500 0.2500 0.0000 1
Sc1 Sc 0.0000 0.0000 0.5000 1
Cd1 Cd 0.0000 0.5000 0.5000 1
```


# 3
ScTc2BiMo | meta-GGA SCAN | PBEsol geometry

Output
Energy of formation from the pure elements = 1144 meV per atom

CIF file:
```
data_ScTc2BiMo
_chemical_formula_sum 'Sc1 Tc2 Bi1 Mo1'
_space_group_name_H-M_alt 'P 4/m m m'
_space_group_IT_number 123
_space_group_name_Hall '-P 4 2'
_cell_length_a 4.6097
_cell_length_b 4.6097
_cell_length_c 5.2090
_cell_angle_alpha 90.00
_cell_angle_beta 90.00
_cell_angle_gamma 90.00
loop_
_atom_site_label
_atom_site_type_symbol
_atom_site_fract_x
_atom_site_fract_y
_atom_site_fract_z
_atom_site_occupancy
Sc1 Sc 0.0000 0.0000 0.0000 1
Tc1 Tc 0.0000 0.5000 0.5000 1
Bi1 Bi 0.5000 0.5000 0.0000 1
Mo1 Mo 0.5000 0.5000 0.5000 1
```


# 4
SrBeIr2 | meta-GGA SCAN | PBEsol geometry

Output
Energy of formation from the pure elements = 136 meV per atom

CIF file:
```
data_SrBeIr2
_chemical_formula_sum 'Sr1 Be1 Ir2'
_space_group_name_H-M_alt 'P 4 m m'
_space_group_IT_number 99
_space_group_name_Hall 'P 4 -2'
_cell_length_a 3.0256
_cell_length_b 3.0256
_cell_length_c 7.1975
_cell_angle_alpha 90.00
_cell_angle_beta 90.00
_cell_angle_gamma 90.00
loop_
_atom_site_label
_atom_site_type_symbol
_atom_site_fract_x
_atom_site_fract_y
_atom_site_fract_z
_atom_site_occupancy
Sr1 Sr 0.0000 0.0000 0.0000 1
Be1 Be 0.5000 0.5000 0.3451 1
Ir1 Ir 0.0000 0.0000 0.4501 1
Ir2 Ir 0.5000 0.5000 0.6966 1
```


# 5
BaCuSi2 | meta-GGA SCAN | PBEsol geometry

Output
Formation energy without anion corrections = 0.72 eV per atom

CIF file:
```
data_BaCuSi2
_chemical_formula_sum 'Ba2 Cu2 Si4'
_space_group_name_H-M_alt 'C m m m'
_space_group_IT_number 65
_space_group_name_Hall '-C 2 2'
_cell_length_a 5.7390
_cell_length_b 9.8005
_cell_length_c 2.9522
_cell_angle_alpha 90.00
_cell_angle_beta 90.00
_cell_angle_gamma 90.00
loop_
_atom_site_label
_atom_site_type_symbol
_atom_site_fract_x
_atom_site_fract_y
_atom_site_fract_z
_atom_site_occupancy
Ba1 Ba 0.0000 0.0000 0.0000 1
Cu1 Cu 0.0000 0.5000 0.0000 1
Si1 Si 0.2500 0.2500 0.5000 1
```


# 6
Ca3ZrO | meta-GGA SCAN | PBEsol geometry

Output
Formation energy without anion corrections = -0.82 eV per atom

CIF file:
```
data_Ca3ZrO
_chemical_formula_sum 'Ca3 Zr1 O1'
_space_group_name_H-M_alt 'P m -3 m'
_space_group_IT_number 221
_space_group_name_Hall '-P 4 2 3'
_cell_length_a 4.9070
_cell_length_b 4.9070
_cell_length_c 4.9070
_cell_angle_alpha 90.00
_cell_angle_beta 90.00
_cell_angle_gamma 90.00
loop_
_atom_site_label
_atom_site_type_symbol
_atom_site_fract_x
_atom_site_fract_y
_atom_site_fract_z
_atom_site_occupancy
Ca1 Ca 0.0000 0.0000 0.5000 1
Zr1 Zr 0.5000 0.5000 0.5000 1
O1 O 0.0000 0.0000 0.0000 1
```


# 7
LiZnCu2 | meta-GGA SCAN | PBEsol geometry

Output
Energy of formation from the pure elements = -97 meV per atom

CIF file:
```
data_LiZnCu2
_chemical_formula_sum 'Li1 Zn1 Cu2'
_space_group_name_H-M_alt 'P m m m'
_space_group_IT_number 47
_space_group_name_Hall '-P 2 2'
_cell_length_a 3.5627
_cell_length_b 3.6072
_cell_length_c 3.7294
_cell_angle_alpha 90.00
_cell_angle_beta 90.00
_cell_angle_gamma 90.00
loop_
_atom_site_label
_atom_site_type_symbol
_atom_site_fract_x
_atom_site_fract_y
_atom_site_fract_z
_atom_site_occupancy
Li1 Li 0.0000 0.0000 0.0000 1
Zn1 Zn 0.5000 0.5000 0.0000 1
Cu1 Cu 0.0000 0.5000 0.5000 1
Cu2 Cu 0.5000 0.0000 0.5000 1
```


# 8
TlFeRu2 | meta-GGA SCAN | PBEsol geometry

Output
Energy of formation from the pure elements = 472 meV per atom

CIF file:
```
data_TlFeRu2
_chemical_formula_sum 'Tl1 Fe1 Ru2'
_space_group_name_H-M_alt 'P 1 2/m 1'
_space_group_IT_number 10
_space_group_name_Hall '-P 2y'
_cell_length_a 2.8207
_cell_length_b 4.0477
_cell_length_c 5.4262
_cell_angle_alpha 90.00
_cell_angle_beta 102.75
_cell_angle_gamma 90.00
loop_
_atom_site_label
_atom_site_type_symbol
_atom_site_fract_x
_atom_site_fract_y
_atom_site_fract_z
_atom_site_occupancy
Tl1 Tl 0.0000 0.0000 0.0000 1
Fe1 Fe 0.0000 0.0000 0.5000 1
Ru1 Ru 0.3747 0.5000 0.7156 1
```


# 9
Li2CdGe | meta-GGA SCAN | PBEsol geometry

Output
Energy of formation from the pure elements = -271 meV per atom

CIF file:
```
data_Li2CdGe
_chemical_formula_sum 'Li8 Cd4 Ge4'
_space_group_name_H-M_alt 'F m -3 m'
_space_group_IT_number 225
_space_group_name_Hall '-F 4 2 3'
_cell_length_a 6.3387
_cell_length_b 6.3387
_cell_length_c 6.3387
_cell_angle_alpha 90.00
_cell_angle_beta 90.00
_cell_angle_gamma 90.00
loop_
_atom_site_label
_atom_site_type_symbol
_atom_site_fract_x
_atom_site_fract_y
_atom_site_fract_z
_atom_site_occupancy
Li1 Li 0.2500 0.2500 0.2500 1
Cd1 Cd 0.0000 0.0000 0.0000 1
Ge1 Ge 0.0000 0.0000 0.5000 1
```


# 10
Cr2InPt | meta-GGA SCAN | PBEsol geometry

Output
Energy of formation from the pure elements = 451 meV per atom

CIF file:
```
data_Cr2InPt
_chemical_formula_sum 'Cr6 In3 Pt3'
_space_group_name_H-M_alt 'R -3 m'
_space_group_IT_number 166
_space_group_name_Hall '-R 3 2"'
_cell_length_a 2.7563
_cell_length_b 2.7563
_cell_length_c 26.3879
_cell_angle_alpha 90.00
_cell_angle_beta 90.00
_cell_angle_gamma 120.00
loop_
_atom_site_label
_atom_site_type_symbol
_atom_site_fract_x
_atom_site_fract_y
_atom_site_fract_z
_atom_site_occupancy
Cr1 Cr 0.0000 0.0000 0.2458 1
In1 In 0.0000 0.0000 0.0000 1
Pt1 Pt 0.0000 0.0000 0.5000 1
```


# 11
YAl2Cd2 | meta-GGA SCAN | PBEsol geometry

Output
Energy of formation from the pure elements = -340 meV per atom

CIF file:
```
data_YAl2Cd2
_chemical_formula_sum 'Y2 Al4 Cd4'
_space_group_name_H-M_alt 'I 4/m m m'
_space_group_IT_number 139
_space_group_name_Hall '-I 4 2'
_cell_length_a 4.2594
_cell_length_b 4.2594
_cell_length_c 11.5383
_cell_angle_alpha 90.00
_cell_angle_beta 90.00
_cell_angle_gamma 90.00
loop_
_atom_site_label
_atom_site_type_symbol
_atom_site_fract_x
_atom_site_fract_y
_atom_site_fract_z
_atom_site_occupancy
Y1 Y 0.0000 0.0000 0.0000 1
Al1 Al 0.0000 0.0000 0.3941 1
Cd1 Cd 0.0000 0.5000 0.2500 1
```


# 12
Ta3CuPd | meta-GGA SCAN | PBEsol geometry

Output
Energy of formation from the pure elements = 1701 meV per atom

CIF file:
```
data_Ta3CuPd
_chemical_formula_sum 'Ta3 Cu1 Pd1'
_space_group_name_H-M_alt 'P m -3 m'
_space_group_IT_number 221
_space_group_name_Hall '-P 4 2 3'
_cell_length_a 4.7489
_cell_length_b 4.7489
_cell_length_c 4.7489
_cell_angle_alpha 90.00
_cell_angle_beta 90.00
_cell_angle_gamma 90.00
loop_
_atom_site_label
_atom_site_type_symbol
_atom_site_fract_x
_atom_site_fract_y
_atom_site_fract_z
_atom_site_occupancy
Ta1 Ta 0.0000 0.0000 0.5000 1
Cu1 Cu 0.5000 0.5000 0.5000 1
Pd1 Pd 0.0000 0.0000 0.0000 1
```